Record 1
{"formula": "BaCrRh2", "functional": "meta-GGA SCAN", "state": "single point on PBEsol structure", "cell": [[-2.557, -2.765, 0.617], [1.300, -2.029, -3.710], [3.016, -2.275, 2.302]], "species": ["Ba", "Cr", "Rh", "Rh"], "frac_coords": [[0.500, 0.500, 0.000], [0.500, 0.000, 0.500], [0.000, 0.000, 0.000], [0.000, 0.500, 0.500]], "crystal_system": "tetragonal", "de_polymorph_ev_per_atom": 0.072}

Record 2
{"formula": "Ba4LaHg", "functional": "meta-GGA SCAN", "state": "single point on PBEsol structure", "cell": [[7.209, 0.000, 0.000], [3.605, 6.243, 0.000], [3.605, 2.081, 5.886]], "species": ["Ba", "Ba", "Ba", "Ba", "Hg", "La"], "frac_coords": [[0.376, 0.376, 0.376], [0.376, 0.376, 0.873], [0.873, 0.376, 0.376], [0.376, 0.873, 0.376], [0.750, 0.750, 0.750], [0.000, 0.000, 0.000]], "crystal_system": "cubic", "dft_energy_ha_per_atom": -1.6372}

Record 3
{"formula": "ScCd2Ru", "functional": "meta-GGA SCAN", "state": "single point on PBEsol structure", "cell": [[3.958, 0.000, 0.000], [0.000, 3.958, 0.000], [-1.979, -1.979, 4.446]], "species": ["Sc", "Ru", "Cd", "Cd"], "frac_coords": [[0.500, 0.500, 0.000], [0.000, 0.000, 0.000], [0.750, 0.250, 0.500], [0.250, 0.750, 0.500]], "crystal_system": "tetragonal", "dft_energy_ha_per_atom": -1.0195}

Record 4
{"formula": "Ca2CdH2", "functional": "meta-GGA SCAN", "state": "single point on PBEsol structure", "cell": [[3.279, 0.000, 0.000], [0.000, 7.238, 0.000], [0.000, 0.000, 7.238]], "species": ["H", "H", "H", "H", "Ca", "Ca", "Ca", "Ca", "Cd", "Cd"], "frac_coords": [[0.000, 0.377, 0.877], [0.000, 0.877, 0.623], [0.000, 0.623, 0.123], [0.000, 0.123, 0.377], [0.500, 0.172, 0.672], [0.500, 0.672, 0.828], [0.500, 0.828, 0.328], [0.500, 0.328, 0.172], [0.000, 0.000, 0.000], [0.000, 0.500, 0.500]], "crystal_system": "tetragonal", "de_polymorph_ev_per_atom": 0.356}

Record 5
{"formula": "YMnIr2", "functional": "meta-GGA SCAN", "state": "single point on PBEsol structure", "cell": [[-2.550, 1.344, 0.243], [-1.797, 0.113, -2.264], [-5.200, -7.103, 1.927]], "species": ["Ir", "Ir", "Mn", "Y"], "frac_coords": [[0.241, 0.241, 0.278], [0.759, 0.759, 0.722], [0.500, 0.500, 0.500], [0.000, 0.000, 0.000]], "crystal_system": "trigonal", "dft_energy_ha_per_atom": -1.7324}

Record 6
{"formula": "LiMgPb2", "functional": "meta-GGA SCAN", "state": "single point on PBEsol structure", "cell": [[-1.600, -2.748, -3.095], [-2.389, -2.096, 3.097], [-1.747, 5.502, -0.802]], "species": ["Pb", "Pb", "Mg", "Li"], "frac_coords": [[0.000, 0.000, 0.000], [0.750, 0.250, 0.500], [0.250, 0.750, 0.500], [0.500, 0.500, 0.000]], "crystal_system": "tetragonal", "dft_energy_ha_per_atom": -1.4692}